[1]
The following is a PBE calculation of a relaxed MnCo2Br2 crystal, from the Alexandria database.

Results
relative energy among the computed polymorphs = 171.3 meV/atom

Unit cell a=3.1828 b=3.1828 c=18.5618 alpha=90.00 beta=90.00 gamma=90.00
With the nearest neighbours (Å) after each atom.
Space group I4/mmm (No. 139)
Unique sites:
1 Mn 0.0000 0.0000 0.0000  8 Br 2.73
2 Co 0.0000 0.5000 0.2500  4 Co 2.25
3 Br 0.0000 0.0000 0.4172  4 Mn 2.73

---

[2]
The following is a PBE calculation of a relaxed MnHgPH2 crystal, from the Alexandria database.

Unit cell a=3.6932 b=3.6932 c=4.9592 alpha=90.00 beta=90.00 gamma=90.00
With the nearest neighbours (Å) after each atom.
Space group P4/mmm (No. 123)
Unique sites:
1 Mn 0.0000 0.0000 0.0000  4 H 1.85
2 Hg 0.5000 0.5000 0.5000  4 P 2.61
3 P 0.0000 0.0000 0.5000  2 Mn 2.48, 4 Hg 2.61
4 H 0.0000 0.5000 0.0000  2 Mn 1.85

---

no.,magnetization (μB per formula unit),raw total energy (eV per atom)
1,3.81,-4.44
2,3.62,-4.05